Entry 1:
The following is a DFT calculation (PBE-GGA) of crystalline BeReHg3 at its relaxed geometry.

The space group is Pm-3m (No. 221) and the conventional cell measures 5.383, 5.383 and 5.383 Å, with angles of 90.00, 90.00 and 90.00 degrees. Symmetry generates all atoms from Be at (0.000, 0.000, 0.000), Re at (0.500, 0.500, 0.500) and Hg at (0.000, 0.500, 0.500).

Its energy above the lowest structure with this stoichiometry is 0.201 eV per atom. The energy relative to the elements comes out at 1.464 eV/atom.


Entry 2:
The following is a DFT calculation (PBE-GGA) of crystalline Zn2Sb2Rh at its relaxed geometry.

The space group is P4/mbm (No. 127) and the conventional cell measures 6.842, 6.842 and 4.589 Å, with angles of 90.00, 90.00 and 90.00 degrees. Symmetry generates all atoms from Zn at (0.166, 0.334, 0.000), Sb at (0.153, 0.653, 0.500) and Rh at (0.000, 0.000, 0.500).

As for the raw formation energy: 113 meV per atom.


Entry 3:
The following is a DFT calculation (PBE-GGA) of crystalline Er8TcIr2 at its relaxed geometry.

The space group is Cm (No. 8) and the conventional cell measures 8.343, 12.499 and 5.675 Å, with angles of 90.00, 107.96 and 90.00 degrees. Symmetry generates all atoms from Er at (0.000, 0.000, 0.000), Er at (0.060, 0.373, 0.788), Er at (0.161, 0.127, 0.600), Er at (0.219, 0.500, 0.373), Er at (0.364, 0.218, 0.188), Tc at (0.359, 0.000, 0.089) and Ir at (0.357, 0.312, 0.683).

The energy relative to the elements comes out at -0.368 eV/atom.


Entry 4:
The following is a DFT calculation (PBE-GGA) of crystalline Nd3Al3Au8 at its relaxed geometry.

The space group is Immm (No. 71) and the conventional cell measures 4.538, 9.975 and 13.015 Å, with angles of 90.00, 90.00 and 90.00 degrees. Symmetry generates all atoms from Nd at (0.000, 0.000, 0.000), Nd at (0.000, 0.000, 0.297), Al at (0.000, 0.197, 0.500), Al at (0.000, 0.500, 0.000), Au at (0.000, 0.298, 0.123) and Au at (0.000, 0.362, 0.344).

Its energy above the lowest structure with this stoichiometry is 0.052 eV per atom. The energy relative to the elements comes out at -0.658 eV/atom.


Entry 5:
The following is a DFT calculation (PBE-GGA) of crystalline WN at its relaxed geometry.

The space group is R3m (No. 160, hexagonal axes) and the conventional cell measures 2.8733, 2.8733 and 18.6371 Å, with angles of 90.00, 90.00 and 120.00 degrees. Symmetry generates all atoms from W at (0.0000, 0.0000, 0.0000), W at (0.0000, 0.0000, 0.1548), N at (0.0000, 0.0000, 0.7439) and N at (0.0000, 0.0000, 0.8889).

As for the raw formation energy: -256 meV per atom.


Entry 6:
The following is a DFT calculation (PBE-GGA) of crystalline AgAsF2 at its relaxed geometry.

The space group is I-42d (No. 122) and the conventional cell measures 7.827, 7.827 and 5.038 Å, with angles of 90.00, 90.00 and 90.00 degrees. Symmetry generates all atoms from Ag at (0.000, 0.000, 0.000), As at (0.000, 0.000, 0.500) and F at (0.094, 0.250, 0.625).

Its energy above the lowest structure with this stoichiometry is 0.133 eV per atom. As for the raw formation energy: -888 meV per atom.


Entry 7:
The following is a DFT calculation (PBE-GGA) of crystalline Co2NiTe4 at its relaxed geometry.

The space group is Fdd2 (No. 43) and the conventional cell measures 10.686, 13.375 and 7.856 Å, with angles of 90.00, 90.00 and 90.00 degrees. Symmetry generates all atoms from Co at (0.007, 0.241, 0.000), Ni at (0.000, 0.000, 0.239), Te at (0.121, 0.329, 0.248) and Te at (0.124, 0.333, 0.751).

As for the raw formation energy: -133 meV per atom.


Entry 8:
The following is a DFT calculation (PBE-GGA) of crystalline NdPdRu at its relaxed geometry.

The space group is C2/m (No. 12) and the conventional cell measures 8.936, 5.720 and 5.011 Å, with angles of 90.00, 109.09 and 90.00 degrees. Symmetry generates all atoms from Nd at (0.138, 0.000, 0.376), Pd at (0.250, 0.250, 0.000) and Ru at (0.017, 0.500, 0.271).

The energy relative to the elements comes out at -0.153 eV/atom.